VASP calculation (GGA-PBE) on a relaxed structure of Ti2MnSn.

VASP energy, eV/cell: -29.7
DOS(E_F), states/eV per atom: 0.857
V, Å³/cell: 66
Formation energy from the elements, eV/atom: -0.19

Cell lengths 3.2704, 3.2704, 6.1529 Å; angles 90.00, 90.00, 90.00 degrees
Space group P4/mmm (No. 123)
One atom of each set of equivalent atoms:
Ti: 0.0000 0.0000 0.2153 [2 per cell]
Mn: 0.5000 0.5000 0.0000 [1 per cell]
Sn: 0.5000 0.5000 0.5000 [1 per cell]

***

VASP calculation (GGA-PBE) on a relaxed structure of Ti2MnSn.

VASP energy, eV/cell: -118.1
DOS(E_F), states/eV per atom: 0.890
V, Å³/cell: 262
Formation energy from the elements, eV/atom: -0.14

Cell lengths 6.3949, 6.3949, 6.3949 Å; angles 90.00, 90.00, 90.00 degrees
Space group F-43m (No. 216)
One atom of each set of equivalent atoms:
Ti: 0.0000 0.0000 0.0000 [4 per cell]
Ti: 0.2500 0.2500 0.2500 [4 per cell]
Mn: 0.2500 0.2500 0.7500 [4 per cell]
Sn: 0.0000 0.0000 0.5000 [4 per cell]

***

VASP calculation (GGA-PBE) on a relaxed structure of Ti4MnSn2.

VASP energy, eV/cell: -99.0
DOS(E_F), states/eV per atom: 0.938
V, Å³/cell: 258
Formation energy from the elements, eV/atom: -0.11

Cell lengths 8.0362, 10.4463, 3.0743 Å; angles 90.00, 90.00, 90.00 degrees
Space group Pbam (No. 55)
One atom of each set of equivalent atoms:
Ti: 0.1276 0.1843 0.0000 [4 per cell]
Ti: 0.2052 0.9087 0.5000 [4 per cell]
Mn: 0.0000 0.0000 0.0000 [2 per cell]
Sn: 0.0717 0.6370 0.5000 [4 per cell]

***

VASP calculation (GGA-PBE) on a relaxed structure of TiMnSn.

VASP energy, eV/cell: -21.2
DOS(E_F), states/eV per atom: 0.530
V, Å³/cell: 51
Formation energy from the elements, eV/atom: -0.04

Cell lengths 4.4512, 4.4512, 2.9525 Å; angles 90.00, 90.00, 120.00 degrees
Space group P3m1 (No. 156)
One atom of each set of equivalent atoms:
Ti: 0.0000 0.0000 0.0000 [1 per cell]
Mn: 0.6667 0.3333 0.3092 [1 per cell]
Sn: 0.3333 0.6667 0.5431 [1 per cell]

***

VASP calculation (GGA-PBE) on a relaxed structure of Ti8MnSn2.

VASP energy, eV/cell: -165.6
DOS(E_F), states/eV per atom: 1.189
V, Å³/cell: 383
Formation energy from the elements, eV/atom: -0.22

Cell lengths 4.6789, 6.1304, 13.3404 Å; angles 90.00, 90.00, 90.00 degrees
Space group Immm (No. 71)
One atom of each set of equivalent atoms:
Ti: 0.0000 0.0000 0.1725 [4 per cell]
Ti: 0.0000 0.2393 0.3730 [8 per cell]
Ti: 0.0000 0.2536 0.0000 [4 per cell]
Mn: 0.0000 0.5000 0.5000 [2 per cell]
Sn: 0.0000 0.5000 0.1885 [4 per cell]

***

VASP calculation (GGA-PBE) on a relaxed structure of Ti2MnSn.

VASP energy, eV/cell: -87.4
DOS(E_F), states/eV per atom: 0.703
V, Å³/cell: 204
Formation energy from the elements, eV/atom: -0.05

Cell lengths 3.0765, 3.0765, 24.9053 Å; angles 90.00, 90.00, 120.00 degrees
Space group R-3m (No. 166, hexagonal axes)
One atom of each set of equivalent atoms:
Ti: 0.0000 0.0000 0.2360 [6 per cell]
Mn: 0.0000 0.0000 0.5000 [3 per cell]
Sn: 0.0000 0.0000 0.0000 [3 per cell]